VCrCuO5: optimized geometry, PBE+U.

Summary:
Total energy   -6.76 eV/atom
Magnetization   3.99 Bohr magnetons per cell

Unit cell a=5.7491 b=5.7491 c=6.6646 alpha=95.81 beta=95.81 gamma=125.14
Positions (direct):
V 0.0000 0.0000 0.0000
V 0.0000 0.0000 0.5000
Cr 0.4343 0.5657 0.7500
Cr 0.5657 0.4343 0.2500
Cu 0.2800 0.7200 0.2500
Cu 0.7200 0.2800 0.7500
O 0.0351 0.3362 0.6265
O 0.0723 0.9277 0.7500
O 0.2606 0.4236 0.0312
O 0.3362 0.0351 0.1265
O 0.4236 0.2606 0.5312
O 0.5764 0.7394 0.4688
O 0.6638 0.9649 0.8735
O 0.7394 0.5764 0.9688
O 0.9277 0.0723 0.2500
O 0.9649 0.6638 0.3735